Record 1
DFT (PBE-GGA) results for a relaxed structure of HfAlFeAg.

Output
The value obtained for the total energy is -6.1331 eV/atom. As for the total magnetization: 0.580 μB/atom. As for the crystal system: cubic.

a = 4.551 Å, b = 4.551 Å, c = 4.551 Å
α = 60.00°, β = 60.00°, γ = 60.00°
Sites, in units of the cell vectors:
Hf  0.000  0.000  0.000
Al  0.250  0.250  0.250
Fe  0.500  0.500  0.500
Ag  0.750  0.750  0.750



Record 2
DFT (PBE-GGA) results for a relaxed structure of HfAlFeAg.

Output
The value obtained for the total energy is -6.3084 eV/atom. As for the total magnetization: 0.340 μB/atom. As for the crystal system: cubic.

a = 4.500 Å, b = 4.500 Å, c = 4.500 Å
α = 60.00°, β = 60.00°, γ = 60.00°
Sites, in units of the cell vectors:
Hf  0.000  0.000  0.000
Al  0.500  0.500  0.500
Fe  0.750  0.750  0.750
Ag  0.250  0.250  0.250



Record 3
DFT (PBE-GGA) results for a relaxed structure of LuAlFeAg.

Output
The value obtained for the total energy is -4.9290 eV/atom. As for the total magnetization: 0.418 μB/atom. As for the crystal system: cubic.

a = 4.604 Å, b = 4.604 Å, c = 4.604 Å
α = 60.00°, β = 60.00°, γ = 60.00°
Sites, in units of the cell vectors:
Lu  0.000  0.000  0.000
Al  0.500  0.500  0.500
Fe  0.750  0.750  0.750
Ag  0.250  0.250  0.250



Record 4
DFT (PBE-GGA) results for a relaxed structure of LuAlFeAg.

Output
The value obtained for the total energy is -4.8297 eV/atom. As for the total magnetization: 0.618 μB/atom. As for the crystal system: cubic.

a = 4.677 Å, b = 4.677 Å, c = 4.677 Å
α = 60.00°, β = 60.00°, γ = 60.00°
Sites, in units of the cell vectors:
Lu  0.000  0.000  0.000
Al  0.250  0.250  0.250
Fe  0.500  0.500  0.500
Ag  0.750  0.750  0.750



Record 5
DFT (PBE-GGA) results for a relaxed structure of AlFeAgMo.

Output
The value obtained for the total energy is -6.1638 eV/atom. As for the total magnetization: 0.148 μB/atom. As for the crystal system: cubic.

a = 4.347 Å, b = 4.347 Å, c = 4.347 Å
α = 60.00°, β = 60.00°, γ = 60.00°
Sites, in units of the cell vectors:
Al  0.000  0.000  0.000
Fe  0.750  0.750  0.750
Ag  0.250  0.250  0.250
Mo  0.500  0.500  0.500



Record 6
DFT (PBE-GGA) results for a relaxed structure of AlFeAgOs.

Output
The value obtained for the total energy is -6.1937 eV/atom. As for the total magnetization: 0.653 μB/atom. As for the crystal system: cubic.

a = 4.344 Å, b = 4.344 Å, c = 4.344 Å
α = 60.00°, β = 60.00°, γ = 60.00°
Sites, in units of the cell vectors:
Al  0.000  0.000  0.000
Fe  0.250  0.250  0.250
Ag  0.750  0.750  0.750
Os  0.500  0.500  0.500



Record 7
DFT (PBE-GGA) results for a relaxed structure of AlFeAgPd.

Output
The value obtained for the total energy is -5.1222 eV/atom. As for the total magnetization: 0.633 μB/atom. As for the crystal system: cubic.

a = 4.385 Å, b = 4.385 Å, c = 4.385 Å
α = 60.00°, β = 60.00°, γ = 60.00°
Sites, in units of the cell vectors:
Al  0.000  0.000  0.000
Fe  0.250  0.250  0.250
Ag  0.500  0.500  0.500
Pd  0.750  0.750  0.750



Record 8
DFT (PBE-GGA) results for a relaxed structure of AlFeAgPt.

Output
The value obtained for the total energy is -5.3764 eV/atom. As for the total magnetization: 0.648 μB/atom. As for the crystal system: cubic.

a = 4.388 Å, b = 4.388 Å, c = 4.388 Å
α = 60.00°, β = 60.00°, γ = 60.00°
Sites, in units of the cell vectors:
Al  0.000  0.000  0.000
Fe  0.250  0.250  0.250
Ag  0.500  0.500  0.500
Pt  0.750  0.750  0.750



Record 9
DFT (PBE-GGA) results for a relaxed structure of TaAlFeAg.

Output
The value obtained for the total energy is -6.3694 eV/atom. As for the total magnetization: 0.472 μB/atom. As for the crystal system: cubic.

a = 4.458 Å, b = 4.458 Å, c = 4.458 Å
α = 60.00°, β = 60.00°, γ = 60.00°
Sites, in units of the cell vectors:
Ta  0.000  0.000  0.000
Al  0.250  0.250  0.250
Fe  0.500  0.500  0.500
Ag  0.750  0.750  0.750



Record 10
DFT (PBE-GGA) results for a relaxed structure of TaAlFeAg.

Output
The value obtained for the total energy is -6.5921 eV/atom. As for the total magnetization: 0.296 μB/atom. As for the crystal system: cubic.

a = 4.425 Å, b = 4.425 Å, c = 4.425 Å
α = 60.00°, β = 60.00°, γ = 60.00°
Sites, in units of the cell vectors:
Ta  0.000  0.000  0.000
Al  0.500  0.500  0.500
Fe  0.750  0.750  0.750
Ag  0.250  0.250  0.250



Record 11
DFT (PBE-GGA) results for a relaxed structure of AlFeTcAg.

Output
The value obtained for the total energy is -6.0497 eV/atom. As for the total magnetization: 0.673 μB/atom. As for the crystal system: cubic.

a = 4.354 Å, b = 4.354 Å, c = 4.354 Å
α = 60.00°, β = 60.00°, γ = 60.00°
Sites, in units of the cell vectors:
Al  0.000  0.000  0.000
Fe  0.250  0.250  0.250
Tc  0.500  0.500  0.500
Ag  0.750  0.750  0.750



Record 12
DFT (PBE-GGA) results for a relaxed structure of ZrAlFeAg.

Output
The value obtained for the total energy is -5.9534 eV/atom. As for the total magnetization: 0.379 μB/atom. As for the crystal system: cubic.

a = 4.535 Å, b = 4.535 Å, c = 4.535 Å
α = 60.00°, β = 60.00°, γ = 60.00°
Sites, in units of the cell vectors:
Zr  0.000  0.000  0.000
Al  0.500  0.500  0.500
Fe  0.750  0.750  0.750
Ag  0.250  0.250  0.250